# 1
Pr6Er2Sc | GGA-PBE | optimized geometry

Cell: 11.377 5.130 10.886 Å, 90.00 107.81 90.00°
Space group C2/m (No. 12)
Asymmetric unit:
1 Pr 0.004 0.000 0.175 [4 per cell]
2 Pr 0.167 0.500 0.054 [4 per cell]
3 Pr 0.169 0.500 0.393 [4 per cell]
4 Er 0.161 0.500 0.716 [4 per cell]
5 Sc 0.000 0.000 0.500 [2 per cell]

Crystal system: monoclinic
ΔH_f (0 K) in eV per atom: 0.036
Offset from the most stable computed form in meV per atom: 0



# 2
Sr2TaSi2 | GGA-PBE | optimized geometry

Cell: 7.084 7.084 4.930 Å, 90.00 90.00 90.00°
Space group P4/mbm (No. 127)
Asymmetric unit:
1 Sr 0.176 0.324 0.000 [4 per cell]
2 Ta 0.000 0.000 0.500 [2 per cell]
3 Si 0.129 0.629 0.500 [4 per cell]

Crystal system: tetragonal
E_form (uncorrected) in eV per formula unit: 0.2



# 3
ZnAg2Rh | GGA-PBE | optimized geometry

Cell: 3.088 4.455 9.229 Å, 90.00 90.00 90.00°
Space group Immm (No. 71)
Asymmetric unit:
1 Zn 0.000 0.000 0.000 [2 per cell]
2 Ag 0.000 0.500 0.262 [4 per cell]
3 Rh 0.000 0.000 0.500 [2 per cell]

Crystal system: orthorhombic
ΔH_f (0 K) in eV per atom: 0.017



# 4
ErPBrO4 | GGA-PBE | optimized geometry

Cell: 11.131 6.160 6.508 Å, 90.00 100.97 90.00°
Space group C2/m (No. 12)
Asymmetric unit:
1 Er 0.200 0.000 0.323 [4 per cell]
2 P 0.136 0.000 0.759 [4 per cell]
3 Br 0.027 0.500 0.179 [4 per cell]
4 O 0.004 0.000 0.268 [4 per cell]
5 O 0.180 0.198 0.637 [8 per cell]
6 O 0.197 0.000 0.989 [4 per cell]

Crystal system: monoclinic
E_form (uncorrected) in eV per formula unit: -17.3



# 5
LaTbNd2In4 | GGA-PBE | optimized geometry

Cell: 5.4680 5.4680 26.8828 Å, 90.00 90.00 120.00°
Space group R-3m (No. 166, hexagonal axes)
Asymmetric unit:
1 La 0.0000 0.0000 0.0000 [3 per cell]
2 Tb 0.0000 0.0000 0.5000 [3 per cell]
3 Nd 0.0000 0.0000 0.2495 [6 per cell]
4 In 0.0000 0.0000 0.1268 [6 per cell]
5 In 0.0000 0.0000 0.3770 [6 per cell]

Crystal system: trigonal
ΔH_f (0 K) in eV per atom: -0.488



# 6
GaCoPd | GGA-PBE | optimized geometry

Cell: 2.891 2.891 20.173 Å, 90.00 90.00 90.00°
Space group I4/mmm (No. 139)
Asymmetric unit:
1 Ga 0.000 0.000 0.144 [4 per cell]
2 Co 0.000 0.000 0.284 [4 per cell]
3 Pd 0.000 0.000 0.435 [4 per cell]

Crystal system: tetragonal
ΔH_f (0 K) in eV per atom: -0.234



# 7
CaZrP | GGA-PBE | optimized geometry

Cell: 6.486 6.486 6.486 Å, 90.00 90.00 90.00°
Space group F-43m (No. 216)
Asymmetric unit:
1 Ca 0.000 0.000 0.000 [4 per cell]
2 Zr 0.000 0.000 0.500 [4 per cell]
3 P 0.250 0.250 0.750 [4 per cell]

Crystal system: cubic
ΔH_f (0 K) in eV per atom: -0.480



# 8
Mn2BeTc | GGA-PBE | optimized geometry

Cell: 2.896 2.896 5.322 Å, 90.00 90.00 90.00°
Space group P4/mmm (No. 123)
Asymmetric unit:
1 Mn 0.000 0.000 0.215 [2 per cell]
2 Be 0.500 0.500 0.000 [1 per cell]
3 Tc 0.500 0.500 0.500 [1 per cell]

Crystal system: tetragonal
ΔH_f (0 K) in eV per atom: -0.012



# 9
YMg2Pb4 | GGA-PBE | optimized geometry

Cell: 8.120 10.187 4.889 Å, 90.00 90.00 90.00°
Space group Cmmm (No. 65)
Asymmetric unit:
1 Y 0.000 0.000 0.000 [2 per cell]
2 Mg 0.000 0.237 0.500 [4 per cell]
3 Pb 0.213 0.500 0.500 [4 per cell]
4 Pb 0.250 0.250 0.000 [4 per cell]

Crystal system: orthorhombic
ΔH_f (0 K) in eV per atom: -0.157



# 10
Er3Ga7Co4 | GGA-PBE | optimized geometry

Cell: 15.006 4.104 9.079 Å, 90.00 124.58 90.00°
Space group C2/m (No. 12)
Asymmetric unit:
1 Er 0.000 0.000 0.000 [2 per cell]
2 Er 0.193 0.500 0.704 [4 per cell]
3 Ga 0.000 0.000 0.500 [2 per cell]
4 Ga 0.005 0.500 0.280 [4 per cell]
5 Ga 0.158 0.000 0.418 [4 per cell]
6 Ga 0.180 0.500 0.028 [4 per cell]
7 Co 0.113 0.000 0.831 [4 per cell]
8 Co 0.167 0.500 0.287 [4 per cell]

Crystal system: monoclinic
ΔH_f (0 K) in eV per atom: -0.459



# 11
NaSbAu2 | GGA-PBE | optimized geometry

Cell: 4.643 4.643 3.886 Å, 90.00 90.00 90.00°
Space group P4/mmm (No. 123)
Asymmetric unit:
1 Na 0.000 0.000 0.000 [1 per cell]
2 Sb 0.500 0.500 0.000 [1 per cell]
3 Au 0.000 0.500 0.500 [2 per cell]

Crystal system: tetragonal
E_form (uncorrected) in eV per formula unit: -0.7



# 12
NiI2NCl | GGA-PBE | optimized geometry

Cell: 5.750 5.750 3.416 Å, 90.00 90.00 90.00°
Space group P4/mmm (No. 123)
Asymmetric unit:
1 Ni 0.000 0.000 0.000 [1 per cell]
2 I 0.000 0.500 0.000 [2 per cell]
3 N 0.000 0.000 0.500 [1 per cell]
4 Cl 0.500 0.500 0.500 [1 per cell]

Crystal system: tetragonal
E_form (uncorrected) in eV per formula unit: 3.1
Offset from the most stable computed form in meV per atom: 0



# 13
Er2Hf3PaN6 | GGA-PBE | optimized geometry

Cell: 14.491 3.301 6.693 Å, 90.00 103.84 90.00°
Space group C2/m (No. 12)
Asymmetric unit:
1 Er 0.168 0.000 0.336 [4 per cell]
2 Hf 0.000 0.500 0.500 [2 per cell]
3 Hf 0.169 0.000 0.834 [4 per cell]
4 Pa 0.000 0.500 0.000 [2 per cell]
5 N 0.005 0.000 0.735 [4 per cell]
6 N 0.163 0.500 0.595 [4 per cell]
7 N 0.171 0.500 0.073 [4 per cell]

Crystal system: monoclinic
E_form (uncorrected) in eV per formula unit: -21.2



# 14
La2CeY | GGA-PBE | optimized geometry

Cell: 4.1799 4.1799 26.3041 Å, 90.00 90.00 120.00°
Space group R3m (No. 160, hexagonal axes)
Asymmetric unit:
1 La 0.0000 0.0000 0.0000 [3 per cell]
2 La 0.0000 0.0000 0.2054 [3 per cell]
3 Ce 0.0000 0.0000 0.6087 [3 per cell]
4 Y 0.0000 0.0000 0.4366 [3 per cell]

Crystal system: trigonal
ΔH_f (0 K) in eV per atom: 0.381
Offset from the most stable computed form in meV per atom: 327



# 15
AcCeErHg | GGA-PBE | optimized geometry

Cell: 7.880 7.880 7.880 Å, 90.00 90.00 90.00°
Space group F-43m (No. 216)
Asymmetric unit:
1 Ac 0.000 0.000 0.000 [4 per cell]
2 Ce 0.250 0.250 0.750 [4 per cell]
3 Er 0.250 0.250 0.250 [4 per cell]
4 Hg 0.000 0.000 0.500 [4 per cell]

Crystal system: cubic
ΔH_f (0 K) in eV per atom: 0.083



# 16
TmBeIn | GGA-PBE | optimized geometry

Cell: 6.312 6.312 6.312 Å, 90.00 90.00 90.00°
Space group F-43m (No. 216)
Asymmetric unit:
1 Tm 0.000 0.000 0.000 [4 per cell]
2 Be 0.250 0.250 0.750 [4 per cell]
3 In 0.000 0.000 0.500 [4 per cell]

Crystal system: cubic
ΔH_f (0 K) in eV per atom: -0.185



# 17
Pu2Si3Ag | GGA-PBE | optimized geometry

Cell: 8.013 8.378 14.476 Å, 90.00 90.00 90.00°
Space group Fmmm (No. 69)
Asymmetric unit:
1 Pu 0.245 0.000 0.000 [8 per cell]
2 Pu 0.250 0.250 0.250 [8 per cell]
3 Si 0.000 0.000 0.162 [8 per cell]
4 Si 0.000 0.243 0.081 [16 per cell]
5 Ag 0.000 0.000 0.334 [8 per cell]

Crystal system: orthorhombic
E_form (uncorrected) in eV per formula unit: -2.0



# 18
La6HgRu | GGA-PBE | optimized geometry

Cell: 8.079 10.574 6.693 Å, 90.00 104.34 90.00°
Space group C2/m (No. 12)
Asymmetric unit:
1 La 0.127 0.187 0.286 [8 per cell]
2 La 0.214 0.500 0.147 [4 per cell]
3 Hg 0.000 0.500 0.500 [2 per cell]
4 Ru 0.000 0.000 0.000 [2 per cell]

Crystal system: monoclinic
ΔH_f (0 K) in eV per atom: -0.130



# 19
AcReN5 | GGA-PBE | optimized geometry

Cell: 4.021 6.983 9.292 Å, 90.00 90.00 90.00°
Space group Immm (No. 71)
Asymmetric unit:
1 Ac 0.000 0.000 0.000 [2 per cell]
2 Re 0.000 0.000 0.500 [2 per cell]
3 N 0.000 0.000 0.287 [4 per cell]
4 N 0.000 0.275 0.500 [4 per cell]
5 N 0.000 0.500 0.000 [2 per cell]

Crystal system: orthorhombic
E_form (uncorrected) in eV per formula unit: 5.7



# 20
ZrCrAgS4 | GGA-PBE | optimized geometry

Cell: 11.945 3.631 12.595 Å, 90.00 90.52 90.00°
Space group Pm (No. 6)
Asymmetric unit:
1 Zr 0.000 0.000 0.000 [1 per cell]
2 Zr 0.074 0.000 0.495 [1 per cell]
3 Zr 0.464 0.500 0.868 [1 per cell]
4 Zr 0.698 0.000 0.585 [1 per cell]
5 Cr 0.209 0.500 0.277 [1 per cell]
6 Cr 0.361 0.000 0.088 [1 per cell]
7 Cr 0.581 0.500 0.346 [1 per cell]
8 Cr 0.860 0.500 0.774 [1 per cell]
9 Ag 0.185 0.000 0.772 [1 per cell]
10 Ag 0.382 0.500 0.549 [1 per cell]
11 Ag 0.686 0.500 0.084 [1 per cell]
12 Ag 0.870 0.000 0.291 [1 per cell]
13 S 0.018 0.500 0.357 [1 per cell]
14 S 0.045 0.500 0.855 [1 per cell]
15 S 0.168 0.000 0.151 [1 per cell]
16 S 0.173 0.500 0.601 [1 per cell]
17 S 0.255 0.000 0.390 [1 per cell]
18 S 0.296 0.500 0.976 [1 per cell]
19 S 0.397 0.000 0.742 [1 per cell]
20 S 0.401 0.500 0.212 [1 per cell]
21 S 0.519 0.000 0.468 [1 per cell]
22 S 0.543 0.000 0.994 [1 per cell]
23 S 0.657 0.500 0.727 [1 per cell]
24 S 0.663 0.000 0.248 [1 per cell]
25 S 0.748 0.500 0.453 [1 per cell]
26 S 0.817 0.000 0.888 [1 per cell]
27 S 0.902 0.500 0.101 [1 per cell]
28 S 0.907 0.000 0.643 [1 per cell]

Crystal system: monoclinic
E_form (uncorrected) in eV per formula unit: -5.7
Offset from the most stable computed form in meV per atom: 102



# 21
TmCo2Ge | GGA-PBE | optimized geometry

Cell: 3.754 3.754 9.121 Å, 90.00 90.00 90.00°
Space group P4/nmm (No. 129, origin choice 2)
Asymmetric unit:
1 Tm 0.250 0.250 0.219 [2 per cell]
2 Co 0.250 0.250 0.926 [2 per cell]
3 Co 0.250 0.750 0.500 [2 per cell]
4 Ge 0.250 0.250 0.653 [2 per cell]

Crystal system: tetragonal
ΔH_f (0 K) in eV per atom: -0.281



# 22
La2AlSi | GGA-PBE | optimized geometry

Cell: 8.418 8.418 6.313 Å, 90.00 90.00 90.00°
Space group I-42d (No. 122)
Asymmetric unit:
1 La 0.230 0.250 0.125 [8 per cell]
2 Al 0.000 0.000 0.500 [4 per cell]
3 Si 0.000 0.000 0.000 [4 per cell]

Crystal system: tetragonal
E_form (uncorrected) in eV per formula unit: -0.4



# 23
PmSm5DyHo2 | GGA-PBE | optimized geometry

Cell: 5.642 20.223 10.677 Å, 90.00 90.00 90.00°
Space group Cmc2_1 (No. 36)
Asymmetric unit:
1 Pm 0.000 0.201 0.000 [4 per cell]
2 Sm 0.000 0.017 0.013 [4 per cell]
3 Sm 0.000 0.281 0.298 [4 per cell]
4 Sm 0.000 0.298 0.695 [4 per cell]
5 Sm 0.000 0.392 0.015 [4 per cell]
6 Sm 0.000 0.479 0.731 [4 per cell]
7 Dy 0.000 0.412 0.446 [4 per cell]
8 Ho 0.000 0.110 0.727 [4 per cell]
9 Ho 0.000 0.116 0.309 [4 per cell]

Crystal system: orthorhombic
ΔH_f (0 K) in eV per atom: 0.149



# 24
LaHo4Hg | GGA-PBE | optimized geometry

Cell: 8.791 13.954 6.356 Å, 90.00 109.07 90.00°
Space group C2/c (No. 15)
Asymmetric unit:
1 La 0.000 0.096 0.250 [4 per cell]
2 Ho 0.099 0.313 0.547 [8 per cell]
3 Ho 0.221 0.118 0.870 [8 per cell]
4 Hg 0.000 0.499 0.250 [4 per cell]

Crystal system: monoclinic
ΔH_f (0 K) in eV per atom: -0.049
Offset from the most stable computed form in meV per atom: 87